Entry 1:
{"formula": "DyUSb2N", "functional": "PBE", "state": "relaxed", "e_form_raw_mev_per_atom": -846, "dos_at_fermi_per_ev_fu": 4.01, "lattice_angstrom": [[4.0812, 0.0000, 0.0000], [0.0000, 4.0812, 0.0000], [0.0000, 0.0000, 13.9991]], "species": ["Dy", "Dy", "U", "U", "Sb", "Sb", "Sb", "Sb", "N", "N"], "fractional_positions": [[0.5000, 0.0000, 0.0896], [0.0000, 0.5000, 0.9104], [0.5000, 0.0000, 0.5758], [0.0000, 0.5000, 0.4242], [0.0000, 0.5000, 0.6886], [0.0000, 0.5000, 0.1418], [0.5000, 0.0000, 0.8582], [0.5000, 0.0000, 0.3114], [0.0000, 0.0000, 0.5000], [0.5000, 0.5000, 0.5000]]}



Entry 2:
{"formula": "DyUSbN2", "functional": "PBE", "state": "relaxed", "e_form_raw_mev_per_atom": -1332, "dos_at_fermi_per_ev_fu": 1.63, "lattice_angstrom": [[3.9044, 0.0000, 0.0000], [0.0000, 3.9044, 0.0000], [-1.9522, -1.9522, 6.1500]], "species": ["Dy", "U", "Sb", "N", "N"], "fractional_positions": [[0.8421, 0.8421, 0.6843], [0.1667, 0.1667, 0.3333], [0.5084, 0.5084, 0.0169], [0.7414, 0.2414, 0.4828], [0.2414, 0.7414, 0.4828]]}



Entry 3:
{"formula": "Dy2ScN3", "functional": "PBE", "state": "relaxed", "e_form_raw_mev_per_atom": -1724, "dos_at_fermi_per_ev_fu": 0.18, "lattice_angstrom": [[3.1500, 0.0000, -1.2294], [-0.8723, 4.1661, -2.2351], [0.4614, 0.4516, 5.8323]], "species": ["Dy", "Dy", "Sc", "N", "N", "N"], "fractional_positions": [[0.3346, 0.8346, 0.6692], [0.6654, 0.1654, 0.3308], [0.0000, 0.5000, 0.0000], [0.6580, 0.6580, 0.3160], [0.0000, 0.0000, 0.0000], [0.3420, 0.3420, 0.6840]]}



Entry 4:
{"formula": "DySc2N3", "functional": "PBE", "state": "relaxed", "e_form_raw_mev_per_atom": -1791, "dos_at_fermi_per_ev_fu": 0.22, "lattice_angstrom": [[3.1610, 0.0000, -0.8956], [-0.4903, 4.3242, -1.7304], [-0.0921, -0.2651, 5.7012]], "species": ["Dy", "Sc", "Sc", "N", "N", "N"], "fractional_positions": [[0.0000, 0.5000, 0.0000], [0.6684, 0.1684, 0.3368], [0.3316, 0.8316, 0.6632], [0.3241, 0.3241, 0.6482], [0.0000, 0.0000, 0.0000], [0.6759, 0.6759, 0.3518]]}



Entry 5:
{"formula": "DySc3N", "functional": "PBE", "state": "relaxed", "e_form_raw_mev_per_atom": -522, "dos_at_fermi_per_ev_fu": 7.40, "lattice_angstrom": [[4.6383, 0.0000, 0.0000], [0.0000, 4.6383, 0.0000], [0.0000, 0.0000, 4.6383]], "species": ["Sc", "Sc", "Sc", "N", "Dy"], "fractional_positions": [[0.0000, 0.5000, 0.0000], [0.0000, 0.0000, 0.5000], [0.5000, 0.0000, 0.0000], [0.0000, 0.0000, 0.0000], [0.5000, 0.5000, 0.5000]]}



Entry 6:
{"formula": "DyScN", "functional": "PBE", "state": "relaxed", "e_form_raw_mev_per_atom": -1098, "dos_at_fermi_per_ev_fu": 3.27, "e_above_lowest_polymorph_ev_per_atom": 0.0450, "lattice_angstrom": [[-2.6823, -1.6369, -1.1957], [2.8765, 0.0106, -1.7405], [1.6775, -4.7527, 2.7434]], "species": ["Sc", "N", "Dy"], "fractional_positions": [[0.3333, 0.6667, 0.5468], [0.6667, 0.3333, 0.3510], [0.0000, 0.0000, 0.1022]]}



Entry 7:
{"formula": "Dy4Sc2N", "functional": "PBE", "state": "relaxed", "e_form_raw_mev_per_atom": -215, "dos_at_fermi_per_ev_fu": 8.69, "lattice_angstrom": [[-3.4942, -0.8463, 3.0656], [3.1794, -1.0318, 3.3391], [-0.0291, 7.2051, 5.5969]], "species": ["Sc", "Sc", "N", "Dy", "Dy", "Dy", "Dy"], "fractional_positions": [[0.6611, 0.6611, 0.6778], [0.3389, 0.3389, 0.3222], [0.0000, 0.0000, 0.0000], [0.8610, 0.8610, 0.2781], [0.1390, 0.1390, 0.7219], [0.0000, 0.5000, 0.0000], [0.5000, 0.0000, 0.0000]]}



Entry 8:
{"formula": "DySc2N", "functional": "PBE", "state": "relaxed", "e_form_raw_mev_per_atom": -798, "dos_at_fermi_per_ev_fu": 5.47, "e_above_lowest_polymorph_ev_per_atom": 0.0000, "lattice_angstrom": [[3.2440, 0.0000, 0.0000], [1.6220, 2.8094, 0.0000], [1.6220, 0.9365, 8.9078]], "species": ["Sc", "Sc", "N", "Dy"], "fractional_positions": [[0.1217, 0.1217, 0.6348], [0.8783, 0.8783, 0.3652], [0.5000, 0.5000, 0.5000], [0.0000, 0.0000, 0.0000]]}



Entry 9:
{"formula": "Dy3ScN", "functional": "PBE", "state": "relaxed", "e_form_raw_mev_per_atom": -567, "dos_at_fermi_per_ev_fu": 6.03, "lattice_angstrom": [[-0.0165, -2.6038, 4.1389], [2.1742, -3.7112, -2.3261], [4.3799, 1.8324, 1.1703]], "species": ["Sc", "N", "Dy", "Dy", "Dy"], "fractional_positions": [[0.5000, 0.5000, 0.5000], [0.0000, 0.0000, 0.0000], [0.0000, 0.5000, 0.0000], [0.0000, 0.0000, 0.5000], [0.5000, 0.0000, 0.0000]]}



Entry 10:
{"formula": "DySc2N", "functional": "PBE", "state": "relaxed", "e_form_raw_mev_per_atom": -283, "dos_at_fermi_per_ev_fu": 4.67, "e_above_lowest_polymorph_ev_per_atom": 0.5149, "lattice_angstrom": [[2.9953, 0.0000, 0.0000], [0.0000, 2.9953, 0.0000], [0.0000, 0.0000, 8.2293]], "species": ["Sc", "Sc", "N", "Dy"], "fractional_positions": [[0.0000, 0.0000, 0.8459], [0.0000, 0.0000, 0.1541], [0.5000, 0.5000, 0.0000], [0.5000, 0.5000, 0.5000]]}



Entry 11:
{"formula": "Dy5ScN6", "functional": "PBE", "state": "relaxed", "e_form_raw_mev_per_atom": -1710, "dos_at_fermi_per_ev_fu": 0.31, "lattice_angstrom": [[-0.9395, -5.6000, 1.7484], [5.1861, -2.8949, 0.2442], [3.1642, -0.0099, 5.0333]], "species": ["Sc", "N", "N", "N", "N", "N", "N", "Dy", "Dy", "Dy", "Dy", "Dy"], "fractional_positions": [[0.0000, 0.0000, 0.0000], [0.7546, 0.0818, 0.3253], [0.2454, 0.5928, 0.3253], [0.2459, 0.2435, 0.0000], [0.7541, 0.7565, 0.0000], [0.7546, 0.4072, 0.6747], [0.2454, 0.9182, 0.6747], [0.5000, 0.1651, 0.6699], [0.0000, 0.3331, 0.3338], [0.5000, 0.5000, 0.0000], [0.0000, 0.6669, 0.6662], [0.5000, 0.8349, 0.3301]]}



Entry 12:
{"formula": "DyScN", "functional": "PBE", "state": "relaxed", "e_form_raw_mev_per_atom": -1143, "dos_at_fermi_per_ev_fu": 2.93, "e_above_lowest_polymorph_ev_per_atom": 0.0000, "lattice_angstrom": [[-1.6649, -0.0881, -2.9185], [-0.6544, -5.9615, 0.5533], [-4.5301, 2.7430, 2.5013]], "species": ["Dy", "Dy", "N", "N", "Sc", "Sc"], "fractional_positions": [[0.2500, 0.7638, 0.4977], [0.7500, 0.2362, 0.5023], [0.7500, 0.0061, 0.7693], [0.2500, 0.9939, 0.2307], [0.7500, 0.7848, 0.0081], [0.2500, 0.2152, 0.9919]]}